## LiTmSi2Pt4 (PBE)

Data for crystalline LiTmSi2Pt4 at its relaxed geometry.

Cell and atoms, written as extended XYZ:
```
8
Lattice="2.075 1.198 8.443 -2.075 1.198 8.443 0.000 -2.396 8.443" Properties=species:S:1:pos:R:3 pbc="T T T"
Li 0.000 0.000 0.000
Tm 0.000 0.000 12.665
Si 0.000 0.000 6.596
Si 0.000 0.000 18.734
Pt 0.000 0.000 2.441
Pt 0.000 0.000 9.252
Pt 0.000 0.000 16.078
Pt 0.000 0.000 22.889
```

## Properties
Formation energy from raw total energies (kJ/mol of formula units): -698
Electronic total energy (eV per cell): -48.6